Record 1
Ac8Hg4Ir3Pd: relaxed, GGA-PBE.

The structure in POSCAR format:
```
Ac8Hg4Ir3Pd
1.0
-0.398 5.291 -6.933
-7.740 4.303 3.728
7.201 -0.192 4.937
Ac Hg Ir Pd
8 4 3 1
Direct
0.239 0.704 0.965
0.239 0.704 0.479
0.266 0.299 0.532
0.726 0.704 0.965
0.274 0.296 0.035
0.734 0.701 0.468
0.761 0.296 0.521
0.761 0.296 0.035
0.500 0.000 0.000
0.500 0.000 0.500
0.000 0.000 0.000
0.000 0.000 0.500
0.500 0.500 0.000
0.500 0.500 0.500
0.000 0.500 0.500
0.000 0.500 0.000
```

The final energy is -4.740 eV per atom. The formation enthalpy at 0 K is -0.62 eV per atom. As for the density of states at the Fermi level: 0.782 states/eV per atom. The value obtained for the total magnetic moment is 0.00 μB/f.u.


Record 2
Ac3HgIrPd: relaxed, GGA-PBE.

The structure in POSCAR format:
```
Ac3HgIrPd
1.0
-3.104 2.200 2.181
1.560 -5.535 7.804
5.824 7.669 0.552
Ac Hg Ir Pd
6 2 2 2
Direct
0.250 0.726 0.496
0.750 0.878 0.189
0.750 0.441 0.145
0.750 0.274 0.504
0.250 0.559 0.855
0.250 0.122 0.811
0.750 0.822 0.800
0.250 0.178 0.200
0.250 0.663 0.178
0.750 0.337 0.822
0.250 0.036 0.426
0.750 0.964 0.574
```

The final energy is -5.108 eV per atom. The formation enthalpy at 0 K is -0.66 eV per atom. As for the density of states at the Fermi level: 0.750 states/eV per atom. The value obtained for the total magnetic moment is 0.00 μB/f.u.


Record 3
Ac4Hg2IrPd: relaxed, GGA-PBE.

The structure in POSCAR format:
```
Ac4Hg2IrPd
1.0
-1.066 2.853 -3.119
4.564 -3.593 -4.847
-7.765 -3.643 -0.678
Ac Hg Ir Pd
4 2 1 1
Direct
0.500 0.246 0.208
0.500 0.754 0.792
0.000 0.273 0.795
0.000 0.727 0.205
0.500 0.000 0.500
0.000 0.500 0.500
0.500 0.500 0.000
0.000 0.000 0.000
```

The final energy is -4.511 eV per atom. The formation enthalpy at 0 K is -0.63 eV per atom. As for the density of states at the Fermi level: 0.551 states/eV per atom. The value obtained for the total magnetic moment is 0.00 μB/f.u.


Record 4
Ac6Hg3IrPd2: relaxed, GGA-PBE.

The structure in POSCAR format:
```
Ac6Hg3IrPd2
1.0
7.558 0.003 0.002
-3.774 6.549 0.002
-1.260 -2.183 8.237
Ac Hg Ir Pd
6 3 1 2
Direct
0.930 0.606 0.792
0.747 0.747 0.211
0.070 0.394 0.208
0.606 0.930 0.792
0.253 0.253 0.789
0.394 0.070 0.208
0.171 0.829 0.500
0.829 0.171 0.500
0.500 0.500 0.500
0.000 0.000 0.000
0.334 0.666 0.000
0.666 0.334 0.000
```

The final energy is -4.356 eV per atom. The formation enthalpy at 0 K is -0.62 eV per atom. As for the density of states at the Fermi level: 0.448 states/eV per atom. The value obtained for the total magnetic moment is 0.00 μB/f.u.


Record 5
AcPmHgIr: relaxed, GGA-PBE.

The structure in POSCAR format:
```
AcPmHgIr
1.0
4.297 -0.001 -0.001
-2.149 3.723 0.000
-2.149 -1.240 7.796
Ac Pm Hg Ir
1 1 1 1
Direct
0.505 0.150 0.672
0.104 0.950 0.068
0.959 0.378 0.351
0.310 0.553 0.879
```

The final energy is -5.073 eV per atom. For the energy above the most stable polymorph in this dataset, the calculation gives 0 meV/atom. The formation enthalpy at 0 K is -0.57 eV per atom. As for the density of states at the Fermi level: 0.694 states/eV per atom. The value obtained for the total magnetic moment is 0.00 μB/f.u.


Record 6
AcPmHgIr: relaxed, GGA-PBE.

The structure in POSCAR format:
```
AcPmHgIr
1.0
-4.887 -0.963 1.888
-2.172 -4.830 -0.573
-0.641 -3.152 4.245
Ac Ir Hg Pm
1 1 1 1
Direct
0.250 0.250 0.250
0.000 0.000 0.000
0.500 0.500 0.500
0.750 0.750 0.750
```

The final energy is -4.949 eV per atom. For the energy above the most stable polymorph in this dataset, the calculation gives 124 meV/atom. The formation enthalpy at 0 K is -0.44 eV per atom. As for the density of states at the Fermi level: 0.471 states/eV per atom. The value obtained for the total magnetic moment is 0.00 μB/f.u.


Record 7
Ac6HgIr3Pt2: relaxed, GGA-PBE.

The structure in POSCAR format:
```
Ac6HgIr3Pt2
1.0
-2.551 -1.934 -2.987
7.147 -1.650 -5.035
0.617 -6.805 7.088
Ac Hg Ir Pt
6 1 3 2
Direct
0.321 0.914 0.641
0.666 0.592 0.331
0.679 0.086 0.359
0.999 0.279 0.999
0.001 0.721 0.001
0.334 0.408 0.669
0.500 0.000 0.000
0.500 0.500 0.000
0.838 0.163 0.675
0.162 0.837 0.325
0.834 0.667 0.668
0.166 0.333 0.332
```

The final energy is -6.049 eV per atom. The formation enthalpy at 0 K is -0.75 eV per atom. As for the density of states at the Fermi level: 0.494 states/eV per atom. The value obtained for the total magnetic moment is 0.00 μB/f.u.


Record 8
Ac8Hg4IrPt3: relaxed, GGA-PBE.

The structure in POSCAR format:
```
Ac8Hg4IrPt3
1.0
8.759 0.000 0.000
0.000 9.628 0.611
-4.380 -4.379 6.194
Ac Hg Ir Pt
8 4 1 3
Direct
0.232 0.706 0.974
0.232 0.706 0.464
0.264 0.293 0.528
0.742 0.706 0.974
0.258 0.294 0.026
0.736 0.707 0.472
0.768 0.294 0.536
0.768 0.294 0.026
0.500 0.000 0.000
0.500 0.000 0.500
0.000 0.000 0.000
0.000 0.000 0.500
0.000 0.500 0.000
0.500 0.500 0.000
0.500 0.500 0.500
0.000 0.500 0.500
```

The final energy is -4.598 eV per atom. The formation enthalpy at 0 K is -0.78 eV per atom. As for the density of states at the Fermi level: 0.392 states/eV per atom. The value obtained for the total magnetic moment is 0.00 μB/f.u.